The following is a GGA-PBE calculation of crystalline Dy5YSc2 at its relaxed geometry, from Alexandria via LeMat-Bulk.

Summary:
ρ	6.858	Mg/m³
density of states at the Fermi level	18.3	states/eV per cell
calculated formation energy	0.89	eV per formula unit
volume	30.00	A^3/atom
VASP energy	-5.156	eV/atom
ΔE to the lowest computed polymorph	8.0	kJ per mole of atoms

```
Dy5YSc2
1.0
8.8233 0.0000 0.0000
0.0000 8.8233 0.0000
-4.4116 -4.4116 6.1664
Dy Y Sc
10 2 4
Direct
0.4919 0.6915 0.6833
0.8085 0.0081 0.3167
0.0000 0.0000 0.0000
0.5000 0.5000 0.0000
0.1915 0.9919 0.6833
0.6915 0.1915 0.6833
0.9919 0.4919 0.6833
0.3085 0.8085 0.3167
0.0081 0.5081 0.3167
0.5081 0.3085 0.3167
0.7500 0.7500 0.5000
0.2500 0.2500 0.5000
0.1444 0.3556 0.0000
0.6444 0.1444 0.0000
0.3556 0.8556 0.0000
0.8556 0.6444 0.0000
```